No. 1
{"formula": "ZnCdSeO", "functional": "PBE", "state": "relaxed", "volume_a3_per_atom": 18.42, "cell": [[3.682, 0.000, 0.000], [0.000, 3.682, 0.000], [0.000, 0.000, 10.866]], "species": ["Zn", "Zn", "Cd", "Cd", "Se", "Se", "O", "O"], "fractional_positions": [[0.250, 0.250, 0.095], [0.750, 0.750, 0.905], [0.250, 0.250, 0.723], [0.750, 0.750, 0.277], [0.250, 0.750, 0.500], [0.750, 0.250, 0.500], [0.250, 0.250, 0.920], [0.750, 0.750, 0.080]]}

=====

No. 2
{"formula": "ZnCdSeO", "functional": "PBE", "state": "relaxed", "volume_a3_per_atom": 18.24, "cell": [[5.767, 0.000, 0.000], [0.000, 3.789, 0.000], [0.000, 0.000, 13.352]], "species": ["Zn", "Zn", "Zn", "Zn", "Cd", "Cd", "Cd", "Cd", "Se", "Se", "Se", "Se", "O", "O", "O", "O"], "fractional_positions": [[0.149, 0.250, 0.191], [0.351, 0.750, 0.691], [0.649, 0.250, 0.309], [0.851, 0.750, 0.809], [0.231, 0.750, 0.410], [0.269, 0.250, 0.910], [0.731, 0.750, 0.090], [0.769, 0.250, 0.590], [0.240, 0.250, 0.579], [0.260, 0.750, 0.079], [0.740, 0.250, 0.921], [0.760, 0.750, 0.421], [0.194, 0.750, 0.818], [0.306, 0.250, 0.318], [0.694, 0.750, 0.682], [0.806, 0.250, 0.182]]}

=====

No. 3
{"formula": "ZnCdSeO", "functional": "PBE", "state": "relaxed", "volume_a3_per_atom": 18.20, "cell": [[5.985, 0.000, 0.000], [0.000, 8.619, 0.000], [0.000, 0.000, 5.646]], "species": ["Zn", "Zn", "Zn", "Zn", "Cd", "Cd", "Cd", "Cd", "Se", "Se", "Se", "Se", "O", "O", "O", "O"], "fractional_positions": [[0.113, 0.072, 0.000], [0.387, 0.072, 0.500], [0.613, 0.928, 0.000], [0.887, 0.928, 0.500], [0.025, 0.666, 0.101], [0.475, 0.666, 0.601], [0.525, 0.334, 0.101], [0.975, 0.334, 0.601], [0.013, 0.657, 0.613], [0.487, 0.657, 0.113], [0.513, 0.343, 0.613], [0.987, 0.343, 0.113], [0.087, 0.080, 0.649], [0.413, 0.080, 0.149], [0.587, 0.920, 0.649], [0.913, 0.920, 0.149]]}

=====

No. 4
{"formula": "ZnCdSeO", "functional": "PBE", "state": "relaxed", "volume_a3_per_atom": 19.40, "cell": [[4.181, 0.000, 0.000], [0.000, 4.181, 0.000], [0.000, 0.000, 8.877]], "species": ["Zn", "Zn", "Cd", "Cd", "Se", "Se", "O", "O"], "fractional_positions": [[0.250, 0.250, 0.172], [0.750, 0.750, 0.828], [0.250, 0.250, 0.625], [0.750, 0.750, 0.375], [0.250, 0.750, 0.000], [0.750, 0.250, 0.000], [0.250, 0.250, 0.381], [0.750, 0.750, 0.619]]}

=====

No. 5
{"formula": "ZnCdSeO", "functional": "PBE", "state": "relaxed", "volume_a3_per_atom": 17.79, "cell": [[4.146, 0.000, 0.000], [0.000, 4.146, 0.000], [0.000, 0.000, 8.282]], "species": ["Zn", "Zn", "Cd", "Cd", "Se", "Se", "O", "O"], "fractional_positions": [[0.250, 0.250, 0.244], [0.750, 0.750, 0.756], [0.250, 0.750, 0.500], [0.750, 0.250, 0.500], [0.250, 0.250, 0.808], [0.750, 0.750, 0.192], [0.250, 0.250, 0.017], [0.750, 0.750, 0.983]]}

=====

No. 6
{"formula": "ZnCdSeO", "functional": "PBE", "state": "relaxed", "volume_a3_per_atom": 17.69, "cell": [[3.619, 0.000, 0.000], [-1.809, 3.134, 0.000], [0.000, 0.000, 12.476]], "species": ["Zn", "Zn", "Cd", "Cd", "Se", "Se", "O", "O"], "fractional_positions": [[0.333, 0.667, 0.000], [0.667, 0.333, 0.500], [0.000, 0.000, 0.224], [0.000, 0.000, 0.724], [0.333, 0.667, 0.355], [0.667, 0.333, 0.855], [0.000, 0.000, 0.053], [0.000, 0.000, 0.553]]}

=====

No. 7
{"formula": "ZnCdSeO", "functional": "PBE", "state": "relaxed", "volume_a3_per_atom": 18.53, "cell": [[3.592, 0.000, 0.000], [0.000, 3.592, 0.000], [0.000, 0.000, 11.492]], "species": ["Zn", "Zn", "Cd", "Cd", "Se", "Se", "O", "O"], "fractional_positions": [[0.250, 0.750, 0.000], [0.750, 0.250, 0.000], [0.250, 0.250, 0.403], [0.750, 0.750, 0.597], [0.250, 0.250, 0.851], [0.750, 0.750, 0.149], [0.250, 0.250, 0.598], [0.750, 0.750, 0.402]]}

=====

No. 8
{"formula": "ZnCdSeO", "functional": "PBE", "state": "relaxed", "volume_a3_per_atom": 21.87, "cell": [[7.011, 0.000, 0.000], [0.000, 7.995, 0.000], [0.000, 0.000, 12.485]], "species": ["Zn", "Zn", "Zn", "Zn", "Zn", "Zn", "Zn", "Zn", "Cd", "Cd", "Cd", "Cd", "Cd", "Cd", "Cd", "Cd", "Se", "Se", "Se", "Se", "Se", "Se", "Se", "Se", "O", "O", "O", "O", "O", "O", "O", "O"], "fractional_positions": [[0.199, 0.132, 0.208], [0.199, 0.368, 0.708], [0.301, 0.632, 0.208], [0.301, 0.868, 0.708], [0.699, 0.132, 0.292], [0.699, 0.368, 0.792], [0.801, 0.632, 0.292], [0.801, 0.868, 0.792], [0.024, 0.244, 0.935], [0.024, 0.256, 0.435], [0.476, 0.744, 0.935], [0.476, 0.756, 0.435], [0.524, 0.244, 0.565], [0.524, 0.256, 0.065], [0.976, 0.744, 0.565], [0.976, 0.756, 0.065], [0.250, 0.033, 0.022], [0.250, 0.467, 0.522], [0.250, 0.533, 0.022], [0.250, 0.967, 0.522], [0.750, 0.033, 0.478], [0.750, 0.467, 0.978], [0.750, 0.533, 0.478], [0.750, 0.967, 0.978], [0.037, 0.697, 0.235], [0.037, 0.803, 0.735], [0.463, 0.197, 0.235], [0.463, 0.303, 0.735], [0.537, 0.697, 0.265], [0.537, 0.803, 0.765], [0.963, 0.197, 0.265], [0.963, 0.303, 0.765]]}

=====

No. 9
{"formula": "ZnCdSeO", "functional": "PBE", "state": "relaxed", "volume_a3_per_atom": 18.42, "cell": [[3.496, 0.000, 0.000], [0.000, 13.450, 0.000], [0.000, 0.000, 6.269]], "species": ["Zn", "Zn", "Zn", "Zn", "Cd", "Cd", "Cd", "Cd", "Se", "Se", "Se", "Se", "O", "O", "O", "O"], "fractional_positions": [[0.000, 0.165, 0.000], [0.000, 0.835, 0.500], [0.500, 0.335, 0.500], [0.500, 0.665, 0.000], [0.000, 0.439, 0.076], [0.000, 0.561, 0.576], [0.500, 0.061, 0.576], [0.500, 0.939, 0.076], [0.000, 0.186, 0.393], [0.000, 0.814, 0.893], [0.500, 0.314, 0.893], [0.500, 0.686, 0.393], [0.000, 0.413, 0.425], [0.000, 0.587, 0.925], [0.500, 0.087, 0.925], [0.500, 0.913, 0.425]]}

=====

No. 10
{"formula": "ZnCdSeO", "functional": "PBE", "state": "relaxed", "volume_a3_per_atom": 18.53, "cell": [[6.153, 0.000, 0.000], [0.000, 3.528, 0.000], [0.000, 0.000, 13.656]], "species": ["Zn", "Zn", "Zn", "Zn", "Cd", "Cd", "Cd", "Cd", "Se", "Se", "Se", "Se", "O", "O", "O", "O"], "fractional_positions": [[0.147, 0.250, 0.102], [0.353, 0.750, 0.602], [0.647, 0.250, 0.398], [0.853, 0.750, 0.898], [0.092, 0.750, 0.321], [0.408, 0.250, 0.821], [0.592, 0.750, 0.179], [0.908, 0.250, 0.679], [0.238, 0.750, 0.944], [0.262, 0.250, 0.444], [0.738, 0.750, 0.556], [0.762, 0.250, 0.056], [0.229, 0.750, 0.171], [0.271, 0.250, 0.671], [0.729, 0.750, 0.329], [0.771, 0.250, 0.829]]}

=====

No. 11
{"formula": "ZnCdSeO", "functional": "PBE", "state": "relaxed", "volume_a3_per_atom": 17.51, "cell": [[6.129, 0.000, 0.000], [0.000, 7.480, 0.000], [0.000, 0.000, 6.110]], "species": ["Zn", "Zn", "Zn", "Zn", "Cd", "Cd", "Cd", "Cd", "Se", "Se", "Se", "Se", "O", "O", "O", "O"], "fractional_positions": [[0.121, 0.155, 0.000], [0.379, 0.155, 0.500], [0.621, 0.845, 0.000], [0.879, 0.845, 0.500], [0.238, 0.574, 0.829], [0.262, 0.574, 0.329], [0.738, 0.426, 0.829], [0.762, 0.426, 0.329], [0.010, 0.851, 0.102], [0.490, 0.851, 0.602], [0.510, 0.149, 0.102], [0.990, 0.149, 0.602], [0.033, 0.402, 0.074], [0.467, 0.402, 0.574], [0.533, 0.598, 0.074], [0.967, 0.598, 0.574]]}

=====

No. 12
{"formula": "ZnCdSeO", "functional": "PBE", "state": "relaxed", "volume_a3_per_atom": 18.26, "cell": [[6.112, 0.000, 0.000], [0.000, 6.330, 0.000], [0.000, 0.000, 7.553]], "species": ["Zn", "Zn", "Zn", "Zn", "Cd", "Cd", "Cd", "Cd", "Se", "Se", "Se", "Se", "O", "O", "O", "O"], "fractional_positions": [[0.078, 0.148, 0.096], [0.422, 0.852, 0.596], [0.578, 0.352, 0.904], [0.922, 0.648, 0.404], [0.070, 0.554, 0.840], [0.430, 0.446, 0.340], [0.570, 0.946, 0.160], [0.930, 0.054, 0.660], [0.140, 0.758, 0.144], [0.360, 0.242, 0.644], [0.640, 0.742, 0.856], [0.860, 0.258, 0.356], [0.112, 0.750, 0.599], [0.388, 0.250, 0.099], [0.612, 0.750, 0.401], [0.888, 0.250, 0.901]]}

=====

For reference, energy relative to the lowest polymorph listed for this composition by record: 0.774 0.034 0.000 0.656 0.791 0.295 0.457 0.221 0.173 0.177 0.121 0.065 eV per atom.